(1)
# CdPt2W

CdPt2W after structural relaxation (PBE, the Alexandria database).

Crystal system: monoclinic
ΔE_f (eV per atom): -0.136
Total moment (μB per cell): 0.0
Calculated volume (Å³/cell): 68
Electronic total energy (eV/cell): -26.492

```
data_CdPt2W
_symmetry_space_group_name_H-M 'P 1 2/m 1'
_symmetry_Int_Tables_number 10
_symmetry_space_group_name_Hall '-P 2y'
_cell_length_a 2.819
_cell_length_b 3.808
_cell_length_c 6.346
_cell_angle_alpha 90.00
_cell_angle_beta 90.07
_cell_angle_gamma 90.00
loop_
_atom_site_label
_atom_site_fract_x
_atom_site_fract_y
_atom_site_fract_z
Cd1 0.000 0.000 0.000
Pt1 0.500 0.500 0.280
W1 0.000 0.000 0.500
```

=====

(2)
# AcCoBi2

AcCoBi2 after structural relaxation (PBE, the Alexandria database).

Crystal system: tetragonal
ΔE_f (eV per atom): 0.107
Total moment (μB per cell): 1.4
Calculated volume (Å³/cell): 109
Electronic total energy (eV/cell): -18.548

```
data_AcCoBi2
_symmetry_space_group_name_H-M 'P 4/m m m'
_symmetry_Int_Tables_number 123
_symmetry_space_group_name_Hall '-P 4 2'
_cell_length_a 3.614
_cell_length_b 3.614
_cell_length_c 8.336
_cell_angle_alpha 90.00
_cell_angle_beta 90.00
_cell_angle_gamma 90.00
loop_
_atom_site_label
_atom_site_fract_x
_atom_site_fract_y
_atom_site_fract_z
Ac1 0.000 0.000 0.000
Co1 0.000 0.000 0.500
Bi1 0.500 0.500 0.308
```

=====

(3)
# AlCrCl2

AlCrCl2 after structural relaxation (PBE, the Alexandria database).

Crystal system: tetragonal
Formation energy from raw total energies (meV per atom): -58
Total moment (μB per cell): 10.0
Calculated volume (Å³/cell): 184
Electronic total energy (eV/cell): -34.585

```
data_AlCrCl2
_symmetry_space_group_name_H-M 'I -4 m 2'
_symmetry_Int_Tables_number 119
_symmetry_space_group_name_Hall 'I -4 -2'
_cell_length_a 3.885
_cell_length_b 3.885
_cell_length_c 12.198
_cell_angle_alpha 90.00
_cell_angle_beta 90.00
_cell_angle_gamma 90.00
loop_
_atom_site_label
_atom_site_fract_x
_atom_site_fract_y
_atom_site_fract_z
Al1 0.000 0.000 0.000
Cr1 0.000 0.500 0.250
Cl1 0.000 0.000 0.500
Cl2 0.000 0.500 0.750
```

=====

(4)
# Sr2SiBi2

Sr2SiBi2 after structural relaxation (PBE, the Alexandria database).

Crystal system: tetragonal
Formation energy from raw total energies (meV per atom): -367
Total moment (μB per cell): 0.0
Calculated volume (Å³/cell): 329
Electronic total energy (eV/cell): -36.771

```
data_Sr2SiBi2
_symmetry_space_group_name_H-M 'P 4/m b m'
_symmetry_Int_Tables_number 127
_symmetry_space_group_name_Hall '-P 4 2ab'
_cell_length_a 8.149
_cell_length_b 8.149
_cell_length_c 4.951
_cell_angle_alpha 90.00
_cell_angle_beta 90.00
_cell_angle_gamma 90.00
loop_
_atom_site_label
_atom_site_fract_x
_atom_site_fract_y
_atom_site_fract_z
Sr1 0.173 0.327 0.000
Si1 0.000 0.000 0.500
Bi1 0.137 0.637 0.500
```

=====

(5)
# Tb2CoHg

Tb2CoHg after structural relaxation (PBE, the Alexandria database).

Crystal system: cubic
ΔE_f (eV per atom): -0.216
Total moment (μB per cell): 2.3
Calculated volume (Å³/cell): 364
Electronic total energy (eV/cell): -70.134

```
data_Tb2CoHg
_symmetry_space_group_name_H-M 'F m -3 m'
_symmetry_Int_Tables_number 225
_symmetry_space_group_name_Hall '-F 4 2 3'
_cell_length_a 7.142
_cell_length_b 7.142
_cell_length_c 7.142
_cell_angle_alpha 90.00
_cell_angle_beta 90.00
_cell_angle_gamma 90.00
loop_
_atom_site_label
_atom_site_fract_x
_atom_site_fract_y
_atom_site_fract_z
Tb1 0.250 0.250 0.250
Co1 0.000 0.000 0.000
Hg1 0.000 0.000 0.500
```

=====

(6)
# AcTb2Zn

AcTb2Zn after structural relaxation (PBE, the Alexandria database).

Crystal system: trigonal
ΔE_f (eV per atom): -0.019
Total moment (μB per cell): 0.0
Calculated volume (Å³/cell): 384
Electronic total energy (eV/cell): -44.161

```
data_AcTb2Zn
_symmetry_space_group_name_H-M 'R 3 m'
_symmetry_Int_Tables_number 160
_symmetry_space_group_name_Hall 'R 3 -2"'
_cell_length_a 3.7599
_cell_length_b 3.7599
_cell_length_c 31.3552
_cell_angle_alpha 90.00
_cell_angle_beta 90.00
_cell_angle_gamma 120.00
loop_
_atom_site_label
_atom_site_fract_x
_atom_site_fract_y
_atom_site_fract_z
Ac1 0.0000 0.0000 0.0000
Tb1 0.0000 0.0000 0.2341
Tb2 0.0000 0.0000 0.4343
Zn1 0.0000 0.0000 0.8346
```

=====

(7)
# KAc3Tb2Te6

KAc3Tb2Te6 after structural relaxation (PBE, the Alexandria database).

Crystal system: monoclinic
Formation energy from raw total energies (meV per atom): -1394
Total moment (μB per cell): 0.0
Calculated volume (Å³/cell): 843
Electronic total energy (eV/cell): -116.523

```
data_KAc3Tb2Te6
_symmetry_space_group_name_H-M 'C 1 2/m 1'
_symmetry_Int_Tables_number 12
_symmetry_space_group_name_Hall '-C 2y'
_cell_length_a 20.163
_cell_length_b 4.602
_cell_length_c 9.324
_cell_angle_alpha 90.00
_cell_angle_beta 102.99
_cell_angle_gamma 90.00
loop_
_atom_site_label
_atom_site_fract_x
_atom_site_fract_y
_atom_site_fract_z
K1 0.000 0.000 0.000
Ac1 0.000 0.000 0.500
Ac2 0.159 0.500 0.826
Tb1 0.169 0.500 0.346
Te1 0.011 0.500 0.255
Te2 0.171 0.000 0.103
Te3 0.171 0.000 0.573
```

=====

(8)
# Ba6MgNb2IrCl2O12

Ba6MgNb2IrCl2O12 after structural relaxation (PBE, the Alexandria database).

Crystal system: monoclinic
Formation energy from raw total energies (meV per atom): -2421
Total moment (μB per cell): 2.0
Calculated volume (Å³/cell): 998
Electronic total energy (eV/cell): -326.846

```
data_Ba6MgNb2IrCl2O12
_symmetry_space_group_name_H-M 'C 1 m 1'
_symmetry_Int_Tables_number 8
_symmetry_space_group_name_Hall 'C -2y'
_cell_length_a 10.467
_cell_length_b 6.003
_cell_length_c 16.010
_cell_angle_alpha 90.00
_cell_angle_beta 97.09
_cell_angle_gamma 90.00
loop_
_atom_site_label
_atom_site_fract_x
_atom_site_fract_y
_atom_site_fract_z
Ba1 0.000 0.000 0.000
Ba2 0.006 0.000 0.245
Ba3 0.142 0.000 0.639
Ba4 0.167 0.500 0.117
Ba5 0.199 0.500 0.372
Ba6 0.335 0.500 0.775
Mg1 0.225 0.000 0.837
Nb1 0.012 0.500 0.838
Nb2 0.334 0.000 0.199
Ir1 0.366 0.000 0.000
Cl1 0.086 0.000 0.440
Cl2 0.242 0.500 0.582
O1 0.021 0.500 0.248
O2 0.088 0.241 0.786
O3 0.119 0.500 0.938
O4 0.158 0.000 0.135
O5 0.292 0.254 0.264
O6 0.338 0.000 0.742
O7 0.371 0.208 0.896
O8 0.383 0.219 0.098
```

=====

(9)
# HfPIr2

HfPIr2 after structural relaxation (PBE, the Alexandria database).

Crystal system: triclinic
ΔE_f (eV per atom): -0.749
Total moment (μB per cell): 0.0
Calculated volume (Å³/cell): 128
Electronic total energy (eV/cell): -72.164

```
data_HfPIr2
_symmetry_space_group_name_H-M 'P 1'
_symmetry_Int_Tables_number 1
_symmetry_space_group_name_Hall 'P 1'
_cell_length_a 3.801
_cell_length_b 5.019
_cell_length_c 7.550
_cell_angle_alpha 72.31
_cell_angle_beta 76.13
_cell_angle_gamma 71.40
loop_
_atom_site_label
_atom_site_fract_x
_atom_site_fract_y
_atom_site_fract_z
Hf1 0.000 0.000 0.000
Hf2 0.059 0.345 0.561
P1 0.654 0.574 0.024
P2 0.872 0.974 0.403
Ir1 0.153 0.356 0.190
Ir2 0.405 0.442 0.791
Ir3 0.507 0.750 0.314
Ir4 0.704 0.904 0.727
```

=====

(10)
# CdPd2Au4

CdPd2Au4 after structural relaxation (PBE, the Alexandria database).

Crystal system: orthorhombic
ΔE_f (eV per atom): -0.066
Total moment (μB per cell): 0.0
Calculated volume (Å³/cell): 520
Electronic total energy (eV/cell): -99.489

```
data_CdPd2Au4
_symmetry_space_group_name_H-M 'F m m m'
_symmetry_Int_Tables_number 69
_symmetry_space_group_name_Hall '-F 2 2'
_cell_length_a 5.514
_cell_length_b 9.688
_cell_length_c 9.725
_cell_angle_alpha 90.00
_cell_angle_beta 90.00
_cell_angle_gamma 90.00
loop_
_atom_site_label
_atom_site_fract_x
_atom_site_fract_y
_atom_site_fract_z
Cd1 0.000 0.000 0.000
Pd1 0.250 0.250 0.250
Au1 0.000 0.000 0.291
Au2 0.000 0.209 0.500
```

=====

(11)
# SmDy2Mg

SmDy2Mg after structural relaxation (PBE, the Alexandria database).

Crystal system: tetragonal
ΔE_f (eV per atom): 0.020
Total moment (μB per cell): 0.0
Calculated volume (Å³/cell): 120
Electronic total energy (eV/cell): -15.437

```
data_SmDy2Mg
_symmetry_space_group_name_H-M 'P 4/m m m'
_symmetry_Int_Tables_number 123
_symmetry_space_group_name_Hall '-P 4 2'
_cell_length_a 4.912
_cell_length_b 4.912
_cell_length_c 4.962
_cell_angle_alpha 90.00
_cell_angle_beta 90.00
_cell_angle_gamma 90.00
loop_
_atom_site_label
_atom_site_fract_x
_atom_site_fract_y
_atom_site_fract_z
Sm1 0.000 0.000 0.000
Dy1 0.000 0.500 0.500
Mg1 0.500 0.500 0.000
```